Ba2Sn4GePt3 | PBE-GGA | optimized geometry

Cell: 4.8368 4.8368 10.8415 Å, 90.00 90.00 90.00°
Last column: nearest neighbours and their distance in Å.
Sites, in units of the cell vectors:
1 Pt 0.5000 0.0000 0.8791  5 Sn 2.71-2.75
2 Ba 0.5000 0.0000 0.2546  2 Ge 3.60, 6 Pt 3.60-3.71, 8 Sn 3.64-3.67
3 Sn 0.0000 0.0000 0.0000  4 Pt 2.75
4 Pt 0.0000 0.5000 0.1209  5 Sn 2.71-2.75
5 Sn 0.5000 0.0000 0.6296  3 Pt 2.71-2.80, 2 Ge 2.80
6 Ge 0.5000 0.5000 0.5000  4 Sn 2.80
7 Ba 0.0000 0.5000 0.7454  2 Ge 3.60, 6 Pt 3.60-3.71, 8 Sn 3.64-3.67
8 Pt 0.0000 0.0000 0.5000  4 Sn 2.80
9 Sn 0.5000 0.5000 0.0000  4 Pt 2.75
10 Sn 0.0000 0.5000 0.3704  3 Pt 2.71-2.80, 2 Ge 2.80

Ba2Sn3GePt4 | PBE-GGA | optimized geometry

Cell: 4.7385 4.7385 10.7487 Å, 90.00 90.00 90.00°
Last column: nearest neighbours and their distance in Å.
Sites, in units of the cell vectors:
1 Pt 0.0000 0.5000 0.3808  2 Ge 2.69, 3 Sn 2.69-2.76
2 Sn 0.5000 0.0000 0.8764  5 Pt 2.72-2.76
3 Pt 0.5000 0.5000 0.0000  4 Sn 2.72
4 Pt 0.0000 0.0000 0.0000  4 Sn 2.72
5 Sn 0.0000 0.0000 0.5000  4 Pt 2.69
6 Ba 0.5000 0.0000 0.2532  2 Ge 3.56, 6 Sn 3.56-3.63, 9 Pt 3.61-3.93
7 Sn 0.0000 0.5000 0.1236  5 Pt 2.72-2.76
8 Ba 0.0000 0.5000 0.7468  2 Ge 3.56, 6 Sn 3.56-3.63, 9 Pt 3.61-3.93
9 Ge 0.5000 0.5000 0.5000  4 Pt 2.69
10 Pt 0.5000 0.0000 0.6192  2 Ge 2.69, 3 Sn 2.69-2.76

| no. | mass density (kg/m3) | uncorrected energy (eV for the cell shown) |
| --- | --- | --- |
| 1 | 9214 | -49.66 |
| 2 | 10209 | -52.29 |